First-principles (PBE) data for an optimized crystal structure of ZnSbPH, as listed in Alexandria via LeMat-Bulk.

Cell lengths 6.092, 3.668, 7.551 Å; angles 90.00, 109.46, 90.00 degrees
Atoms (fractional coordinates):
1 Zn 0.811 0.000 0.315
2 Zn 0.811 0.500 0.815
3 Sb 0.310 0.000 0.090
4 Sb 0.310 0.500 0.590
5 P 0.874 0.000 0.021
6 P 0.874 0.500 0.521
7 H 0.283 0.000 0.852
8 H 0.283 0.500 0.352

Computed properties:
**Space-group type**: Cm
**Energy above the lowest structure with this stoichiometry**: 0.089 eV/atom
**DFT total energy**: -27.36 eV per cell
**Volume**: 159 Å³ per cell

First-principles (PBE) data for an optimized crystal structure of ZnSbPH, as listed in Alexandria via LeMat-Bulk.

Cell lengths 5.906, 3.724, 7.488 Å; angles 90.00, 106.25, 90.00 degrees
Atoms (fractional coordinates):
1 Zn 0.872 0.000 0.416
2 Zn 0.872 0.500 0.916
3 Sb 0.384 0.000 0.749
4 Sb 0.384 0.500 0.249
5 P 0.801 0.000 0.716
6 P 0.801 0.500 0.216
7 H 0.222 0.000 0.506
8 H 0.222 0.500 0.006

Computed properties:
**Space-group type**: Cm
**Energy above the lowest structure with this stoichiometry**: 0.108 eV/atom
**DFT total energy**: -27.21 eV per cell
**Volume**: 158 Å³ per cell

Please write out number 2 again, unchanged.
First-principles (PBE) data for an optimized crystal structure of ZnSbPH, as listed in Alexandria via LeMat-Bulk.

Cell lengths 5.906, 3.724, 7.488 Å; angles 90.00, 106.25, 90.00 degrees
Atoms (fractional coordinates):
1 Zn 0.872 0.000 0.416
2 Zn 0.872 0.500 0.916
3 Sb 0.384 0.000 0.749
4 Sb 0.384 0.500 0.249
5 P 0.801 0.000 0.716
6 P 0.801 0.500 0.216
7 H 0.222 0.000 0.506
8 H 0.222 0.500 0.006

Computed properties:
**Space-group type**: Cm
**Energy above the lowest structure with this stoichiometry**: 0.108 eV/atom
**DFT total energy**: -27.21 eV per cell
**Volume**: 158 Å³ per cell

- What is the formula in the second record?
  ZnSbPH

- What is the volume in the first record?
  159 Å³ per cell